Material: La8HgRh3Br4
Method: DFT, PBE
State: optimized geometry

Geometry as CIF:
```
data_La8HgRh3Br4
_chemical_formula_sum 'La16 Hg2 Rh6 Br8'
_cell_length_a 14.906
_cell_length_b 8.602
_cell_length_c 9.288
_cell_angle_alpha 90.00
_cell_angle_beta 122.36
_cell_angle_gamma 90.00
_space_group_name_H-M_alt 'C 1 2/m 1'
_space_group_IT_number 12
loop_
_space_group_symop_operation_xyz
'x,y,z'
'-x,-y,-z'
'-x,y,-z'
'x,-y,z'
'x+1/2,y+1/2,z'
'-x+1/2,-y+1/2,-z'
'-x+1/2,y+1/2,-z'
'x+1/2,-y+1/2,z'
loop_
_atom_site_label
_atom_site_type_symbol
_atom_site_fract_x
_atom_site_fract_y
_atom_site_fract_z
La1 La 0.021 0.234 0.299
La2 La 0.234 0.000 0.702
La3 La 0.244 0.500 0.699
Hg1 Hg 0.000 0.500 0.500
Rh1 Rh 0.000 0.000 0.500
Rh2 Rh 0.250 0.250 0.500
Br1 Br 0.000 0.000 0.000
Br2 Br 0.000 0.500 0.000
Br3 Br 0.250 0.250 0.000
```

VASP energy = -5.40 eV/atom